No. 1
Material: Tb5Dy4Zn
Method: DFT, PBE-GGA
State: optimized geometry

Cell and atoms, written as extended XYZ:
```
10
Lattice="-2.605 -1.697 -1.724 2.342 -1.136 -2.421 4.037 -19.428 13.016" Properties=species:S:1:pos:R:3 pbc="T T T"
Tb 1.031 -7.012 1.676
Tb 1.887 -11.130 4.435
Tb 0.173 -2.880 -1.092
Tb 3.601 -19.380 9.962
Tb 2.743 -15.248 7.194
Dy 2.445 -11.765 7.882
Dy 3.298 -15.872 10.633
Dy 1.592 -7.663 5.134
Dy 0.739 -3.556 2.383
Zn 0.000 0.000 0.000
```

Output
The calculation puts the volume at 299.93 Å³ per cell. As for the total energy: -43.37 eV per formula unit. The calculation puts the formation energy from the elements at -0.054 eV/atom. Its total moment is 0.0 μB/f.u.


No. 2
Material: Tb2Dy3Zn2
Method: DFT, PBE-GGA
State: optimized geometry

Cell and atoms, written as extended XYZ:
```
7
Lattice="3.666 0.000 0.000 -1.833 6.425 -0.386 0.000 -3.469 8.373" Properties=species:S:1:pos:R:3 pbc="T T T"
Zn 0.000 1.497 1.754
Zn 1.833 1.459 6.234
Tb 0.000 -0.900 6.679
Tb 1.833 3.856 1.309
Dy 1.833 0.000 0.000
Dy 0.000 3.061 4.372
Dy 1.833 -0.105 3.616
```

Output
As for the energy relative to the lowest polymorph listed for this composition: 0.000 eV/atom. The calculation puts the volume at 192.32 Å³ per cell. As for the total energy: -26.66 eV per formula unit. The calculation puts the formation energy from the elements at -0.149 eV/atom. Its total moment is 0.0 μB/f.u.


Please write out number 2 again, unchanged.
Material: Tb2Dy3Zn2
Method: DFT, PBE-GGA
State: optimized geometry

Cell and atoms, written as extended XYZ:
```
7
Lattice="3.666 0.000 0.000 -1.833 6.425 -0.386 0.000 -3.469 8.373" Properties=species:S:1:pos:R:3 pbc="T T T"
Zn 0.000 1.497 1.754
Zn 1.833 1.459 6.234
Tb 0.000 -0.900 6.679
Tb 1.833 3.856 1.309
Dy 1.833 0.000 0.000
Dy 0.000 3.061 4.372
Dy 1.833 -0.105 3.616
```

Output
As for the energy relative to the lowest polymorph listed for this composition: 0.000 eV/atom. The calculation puts the volume at 192.32 Å³ per cell. As for the total energy: -26.66 eV per formula unit. The calculation puts the formation energy from the elements at -0.149 eV/atom. Its total moment is 0.0 μB/f.u.